VASP calculation (PBE-GGA) on an optimized crystal structure of AcPrNdBi.

It has space group F-43m (No. 216), with a = 8.154 Å, b = 8.154 Å, c = 8.154 Å, α = 90.00°, β = 90.00° and γ = 90.00°. The asymmetric unit holds Ac at (0.000, 0.000, 0.000), Pr at (0.250, 0.250, 0.250), Nd at (0.250, 0.250, 0.750) and Bi at (0.000, 0.000, 0.500).

Its density of states at the Fermi level is 10.57 states/eV/cell. As for the total energy: -4.617 eV/atom. The value obtained for the energy relative to the elements is -0.232 eV per atom.